[1]
Material: RbBa2AlS4
Method: DFT, PBE
State: optimized geometry

Cell: 8.6317 8.6317 8.6145 Å, 117.09 117.09 91.92°
Last column: nearest neighbours and their distance in Å.
Element x y z (fractional)
Rb (0.0000, 0.5000, 0.0000)  6 S 3.13-3.48
Rb (0.0000, 0.5000, 0.5000)  6 S 3.13-3.48
Ba (0.5000, 0.0000, 0.0000)  6 S 3.08-3.25
Ba (0.5000, 0.0000, 0.5000)  6 S 3.08-3.25
Ba (0.0000, 0.0000, 0.5000)  4 S 3.07-3.23
Ba (0.5000, 0.5000, 0.0000)  4 S 3.07-3.23
Al (0.5000, 0.5000, 0.5000)  2 S 2.26
Al (0.0000, 0.0000, 0.0000)  2 S 2.26
S (0.1923, 0.8280, 0.0187)  1 Al 2.26
S (0.6720, 0.3077, 0.4813)  1 Al 2.26
S (0.3280, 0.6923, 0.5187)  1 Al 2.26
S (0.8077, 0.1720, 0.9813)  1 Al 2.26
S (0.7790, 0.7854, 0.0285)  1 Al 2.78, 2 Ba 3.07-3.08
S (0.7146, 0.7210, 0.4715)  1 Al 2.78, 2 Ba 3.07-3.08
S (0.2854, 0.2790, 0.5285)  1 Al 2.78, 2 Ba 3.07-3.08
S (0.2210, 0.2146, 0.9715)  1 Al 2.78, 2 Ba 3.07-3.08

Results
M_tot in μB/cell: 0.00
Symmetry: C2/c (15)
Crystal system: monoclinic
E_form (uncorrected) in eV/atom: -1.3116



[2]
Material: Ce2PmGe
Method: DFT, PBE
State: optimized geometry

Cell: 3.8531 3.8531 9.7941 Å, 78.66 78.66 60.00°
Last column: nearest neighbours and their distance in Å.
Element x y z (fractional)
Ce (0.0660, 0.0660, 0.8020)  3 Ge 2.92
Ce (0.2673, 0.2673, 0.1982)  3 Ge 2.92
Pm (0.5002, 0.5002, 0.4993)  6 Ce 3.63-3.65, 6 Pm 3.85
Ge (0.6665, 0.6665, 0.0005)  6 Ce 2.92

Results
M_tot in μB/cell: 0.16
Symmetry: R3m (160)
Energy relative to the elements in eV/atom: -0.15
Crystal system: trigonal
Energy above the most stable polymorph in this dataset in meV per atom: 315.6



[3]
Material: KMgH3
Method: DFT, PBE
State: optimized geometry

Cell: 4.0218 4.0218 4.0218 Å, 90.00 90.00 90.00°
Last column: nearest neighbours and their distance in Å.
Element x y z (fractional)
H (0.0000, 0.5000, 0.0000)  2 Mg 2.01
H (0.0000, 0.0000, 0.5000)  2 Mg 2.01
H (0.5000, 0.0000, 0.0000)  2 Mg 2.01
K (0.5000, 0.5000, 0.5000)  12 H 2.84
Mg (0.0000, 0.0000, 0.0000)  6 H 2.01

Results
M_tot in μB/cell: 0.00
Calculated total energy in eV/atom: -2.809
Symmetry: Pm-3m (221)
Crystal system: cubic



[4]
Material: AlTeW2
Method: DFT, PBE
State: optimized geometry

Cell: 4.5795 4.5795 4.5795 Å, 60.00 60.00 60.00°
Last column: nearest neighbours and their distance in Å.
Element x y z (fractional)
Te (0.5000, 0.5000, 0.5000)  8 W 2.80
Al (0.0000, 0.0000, 0.0000)  8 W 2.80
W (0.2500, 0.2500, 0.2500)  4 Te 2.80, 4 Al 2.80
W (0.7500, 0.7500, 0.7500)  4 Te 2.80, 4 Al 2.80

Results
M_tot in μB/cell: 0.00
Symmetry: Fm-3m (225)
Crystal system: cubic
E_form (uncorrected) in eV/atom: 0.6205
Energy above the most stable polymorph in this dataset in meV per atom: 328.2



[5]
Material: MgScOs2
Method: DFT, PBE
State: optimized geometry

Cell: 2.8899 4.0173 5.6770 Å, 90.00 90.00 90.00°
Last column: nearest neighbours and their distance in Å.
Element x y z (fractional)
Mg (0.5000, 0.5000, 0.7651)  5 Os 2.65-2.87, 2 Mg 2.89, 4 Sc 2.95
Os (0.0000, 0.0000, 0.0204)  1 Sc 2.62, 6 Os 2.75-2.89, 4 Mg 2.87
Os (0.5000, 0.5000, 0.2318)  1 Mg 2.65, 6 Os 2.75-2.89, 4 Sc 2.85
Sc (0.0000, 0.0000, 0.4826)  5 Os 2.62-2.85, 2 Sc 2.89

Results
M_tot in μB/cell: 0.00
Symmetry: Pmm2 (25)
Energy relative to the elements in eV/atom: 0.08
Crystal system: orthorhombic



[6]
Material: Ho2MgBe3Pt4
Method: DFT, PBE
State: optimized geometry

Cell: 4.0043 4.0043 10.2084 Å, 90.00 90.00 90.00°
Last column: nearest neighbours and their distance in Å.
Element x y z (fractional)
Ho (0.5000, 0.0000, 0.2336)  8 Pt 3.04-3.11, 6 Be 3.08-3.38, 2 Mg 3.38
Ho (0.0000, 0.5000, 0.7664)  8 Pt 3.04-3.11, 6 Be 3.08-3.38, 2 Mg 3.38
Mg (0.5000, 0.5000, 0.5000)  4 Pt 2.57, 4 Be 2.83
Be (0.0000, 0.0000, 0.5000)  4 Pt 2.57, 4 Mg 2.83
Be (0.5000, 0.0000, 0.8843)  5 Pt 2.31-2.32
Be (0.0000, 0.5000, 0.1157)  5 Pt 2.31-2.32
Pt (0.5000, 0.5000, 0.0000)  4 Be 2.32
Pt (0.0000, 0.0000, 0.0000)  4 Be 2.32
Pt (0.5000, 0.0000, 0.6578)  3 Be 2.31-2.57, 2 Mg 2.57
Pt (0.0000, 0.5000, 0.3422)  3 Be 2.31-2.57, 2 Mg 2.57

Results
M_tot in μB/cell: 0.00
Symmetry: P-4m2 (115)
Energy relative to the elements in eV/atom: -0.90
Crystal system: tetragonal



[7]
Material: Tl3ICl4
Method: DFT, PBE
State: optimized geometry

Cell: 6.5121 11.5026 8.9261 Å, 90.00 90.00 90.00°
Last column: nearest neighbours and their distance in Å.
Element x y z (fractional)
Tl (0.5640, 0.8903, 0.0000)  1 Cl 2.89
Tl (0.0642, 0.6810, 0.2556)  4 Cl 2.99-3.33
Tl (0.5642, 0.3190, 0.2444)  4 Cl 2.99-3.33
Tl (0.0640, 0.1097, 0.5000)  1 Cl 2.89
Tl (0.5642, 0.3190, 0.7556)  4 Cl 2.99-3.33
Tl (0.0642, 0.6810, 0.7444)  4 Cl 2.99-3.33
I (0.0644, 0.3725, 0.0000)  2 Cl 2.58
I (0.5644, 0.6275, 0.5000)  2 Cl 2.58
Cl (0.0642, 0.8484, 0.0000)  4 Tl 2.99-3.29
Cl (0.5655, 0.1417, 0.0000)  3 Tl 2.89-2.99
Cl (0.0644, 0.3683, 0.2887)  1 I 2.58
Cl (0.5644, 0.6317, 0.2113)  1 I 2.58
Cl (0.0655, 0.8583, 0.5000)  3 Tl 2.89-2.99
Cl (0.5642, 0.1516, 0.5000)  4 Tl 2.99-3.29
Cl (0.5644, 0.6317, 0.7887)  1 I 2.58
Cl (0.0644, 0.3683, 0.7113)  1 I 2.58

Results
M_tot in μB/cell: 0.00
Symmetry: Pmn2_1 (31)
Crystal system: orthorhombic
E_form (uncorrected) in eV/atom: -0.7658



[8]
Material: NaLiMnAu2
Method: DFT, PBE
State: optimized geometry

Cell: 4.8336 4.7215 4.8336 Å, 90.00 90.00 90.00°
Last column: nearest neighbours and their distance in Å.
Element x y z (fractional)
Na (0.5000, 0.5000, 0.5000)  8 Au 3.38, 4 Li 3.42
Mn (0.0000, 0.0000, 0.0000)  2 Li 2.36, 4 Au 2.42
Au (0.0000, 0.0000, 0.5000)  2 Mn 2.42
Au (0.5000, 0.0000, 0.0000)  2 Mn 2.42
Li (0.0000, 0.5000, 0.0000)  2 Mn 2.36

Results
M_tot in μB/cell: 0.00
Symmetry: P4/mmm (123)
Energy relative to the elements in eV/atom: 0.50
Crystal system: tetragonal



[9]
Material: RePNCl2
Method: DFT, PBE
State: optimized geometry

Cell: 4.9330 4.9330 4.5789 Å, 90.00 90.00 90.00°
Last column: nearest neighbours and their distance in Å.
Element x y z (fractional)
Re (0.0000, 0.0000, 0.0000)  2 P 2.29, 4 Cl 2.47
N (0.5000, 0.5000, 0.5000)  8 Cl 3.37, 4 P 3.49
P (0.0000, 0.0000, 0.5000)  2 Re 2.29
Cl (0.0000, 0.5000, 0.0000)  2 Re 2.47
Cl (0.5000, 0.0000, 0.0000)  2 Re 2.47

Results
M_tot in μB/cell: 4.03
Symmetry: P4/mmm (123)
Crystal system: tetragonal
E_form (uncorrected) in eV/atom: 1.2271
Energy above the most stable polymorph in this dataset in meV per atom: 0.0



[10]
Material: YHgTeI2
Method: DFT, PBE
State: optimized geometry

Cell: 6.0172 6.0172 6.0481 Å, 90.00 90.00 90.00°
Last column: nearest neighbours and their distance in Å.
Element x y z (fractional)
I (0.0000, 0.5000, 0.0000)  2 Y 3.01
I (0.5000, 0.0000, 0.0000)  2 Y 3.01
Y (0.0000, 0.0000, 0.0000)  4 I 3.01, 2 Te 3.02
Te (0.0000, 0.0000, 0.5000)  2 Y 3.02
Hg (0.5000, 0.5000, 0.5000)  4 Te 4.25, 8 I 4.27

Results
M_tot in μB/cell: 0.95
Symmetry: P4/mmm (123)
Crystal system: tetragonal
E_form (uncorrected) in eV/atom: -0.6818
Energy above the most stable polymorph in this dataset in meV per atom: 0.0



[11]
Material: Al4PRh
Method: DFT, PBE
State: optimized geometry

Cell: 5.1146 5.1146 5.1146 Å, 60.00 60.00 60.00°
Last column: nearest neighbours and their distance in Å.
Element x y z (fractional)
Al (0.8750, 0.3750, 0.3750)  6 Al 2.56
Al (0.3750, 0.3750, 0.8750)  6 Al 2.56
Al (0.3750, 0.8750, 0.3750)  6 Al 2.56
Al (0.3750, 0.3750, 0.3750)  6 Al 2.56
P (0.7500, 0.7500, 0.7500)  12 Al 3.00, 4 Rh 3.13
Rh (0.0000, 0.0000, 0.0000)  12 Al 3.00, 4 P 3.13

Results
M_tot in μB/cell: 0.00
Symmetry: F-43m (216)
Energy relative to the elements in eV/atom: 0.20
Crystal system: cubic



[12]
Material: ThScTe2
Method: DFT, PBE
State: optimized geometry

Cell: 4.3414 4.3413 12.2884 Å, 89.90 90.01 90.00°
Last column: nearest neighbours and their distance in Å.
Element x y z (fractional)
Th (0.2009, 0.9824, 0.7500)  6 Te 3.08-3.20
Th (0.7009, 0.4834, 0.4660)  6 Te 3.08-3.20
Sc (0.2011, 0.9827, 0.2549)  6 Te 2.88-3.12
Sc (0.7010, 0.4849, 0.9610)  6 Te 2.88-3.12
Te (0.7011, 0.4831, 0.2093)  5 Sc 3.05-3.12, 1 Th 3.15
Te (0.7009, 0.4825, 0.7265)  1 Sc 2.88, 5 Th 3.08-3.20
Te (0.2009, 0.9832, 0.4895)  1 Sc 2.88, 5 Th 3.08-3.20
Te (0.2010, 0.9846, 0.0067)  5 Sc 3.05-3.12, 1 Th 3.15

Results
M_tot in μB/cell: 0.00
Symmetry: P2_1/m (11)
Crystal system: monoclinic
E_form (uncorrected) in eV/atom: -1.0168
Energy above the most stable polymorph in this dataset in meV per atom: 68.8



Q: M_tot of number 3 (KMgH3)?
A: 0.00 μB/cell